CuTcHg2 (PBE, relaxed); N(E_F) = 1.3 states/eV/cell; formation energy = 0.51 eV/atom; energy relative to the lowest polymorph listed for this composition = 41 meV/atom; SG = No. 25; magnetic moment = 0.00 μB/atom; final energy = -3.257 eV per atom
1.0
2.9701 0.0000 0.0000
0.0000 4.7264 0.0000
0.0000 0.0000 4.9727
Cu Tc Hg
1 1 2
Cartesian
0.0000 0.0000 0.0000
0.0000 2.3632 1.6853
1.4850 0.0000 2.2862
1.4850 2.3632 4.2275